[1]
# Y2CuTcSn

Crystalline Y2CuTcSn at its relaxed geometry (PBEsol, Alexandria via LeMat-Bulk).

a = 5.5957 Å, b = 5.5957 Å, c = 4.5346 Å
α = 90.00°, β = 90.00°, γ = 90.00°
Closest atoms and distances in Å follow each position.
Space group P4/mmm (No. 123)
One atom of each set of equivalent atoms:
Y 0.0000 0.5000 0.0000  2 Sn 2.80
Cu 0.0000 0.0000 0.5000  2 Sn 2.27
Tc 0.5000 0.5000 0.5000  8 Y 3.60, 4 Cu 3.96
Sn 0.0000 0.0000 0.0000  2 Cu 2.27

As for the energy relative to the elements: 1.08 eV per atom.



[2]
# Cu5Sn2Te7

Crystalline Cu5Sn2Te7 at its relaxed geometry (PBEsol, Alexandria via LeMat-Bulk).

a = 13.4710 Å, b = 6.0086 Å, c = 9.5238 Å
α = 90.00°, β = 98.09°, γ = 90.00°
Closest atoms and distances in Å follow each position.
Space group C2 (No. 5)
One atom of each set of equivalent atoms:
Cu 0.0000 0.0000 0.0000  4 Te 2.54
Cu 0.1456 0.0051 0.4254  4 Te 2.53-2.54
Cu 0.2148 0.5013 0.1421  4 Te 2.53-2.54
Sn 0.0741 0.4897 0.7233  4 Te 2.79-2.86
Te 0.0000 0.7887 0.5000  2 Cu 2.54
Te 0.0840 0.2307 0.2066  3 Cu 2.53-2.54, 1 Sn 2.79
Te 0.1488 0.7716 0.9467  3 Cu 2.53-2.54, 1 Sn 2.79
Te 0.2261 0.2277 0.6372  3 Cu 2.53-2.54, 1 Sn 2.80

The calculation puts the energy relative to the elements, uncorrected at -0.098 eV per atom.



[3]
# ThCu5Sn

Crystalline ThCu5Sn at its relaxed geometry (PBEsol, Alexandria via LeMat-Bulk).

a = 8.2455 Å, b = 5.0138 Å, c = 10.4644 Å
α = 90.00°, β = 90.00°, γ = 90.00°
Closest atoms and distances in Å follow each position.
Space group Pnma (No. 62)
One atom of each set of equivalent atoms:
Th 0.2500 0.2500 0.0565  6 Cu 2.83-3.12
Cu 0.0675 0.2500 0.6058  4 Cu 2.51-2.56, 1 Sn 2.65
Cu 0.0736 0.5021 0.8129  7 Cu 2.48-2.53, 2 Sn 2.75-2.77
Cu 0.0796 0.7500 0.0184  5 Cu 2.48-2.51
Cu 0.1786 0.7500 0.2447  7 Cu 2.50-2.56, 2 Sn 2.80
Sn 0.1341 0.2500 0.3583  8 Cu 2.65-2.90

As for the energy relative to the elements: -0.25 eV per atom.



[4]
# Ti10CuSn6

Crystalline Ti10CuSn6 at its relaxed geometry (PBEsol, Alexandria via LeMat-Bulk).

a = 8.0505 Å, b = 8.0505 Å, c = 5.4501 Å
α = 90.00°, β = 90.00°, γ = 120.00°
Closest atoms and distances in Å follow each position.
Space group P-31m (No. 162)
One atom of each set of equivalent atoms:
Ti 0.0000 0.2597 0.2616  1 Cu 2.53, 2 Sn 2.75
Ti 0.3333 0.6667 0.0000  2 Ti 2.73, 6 Sn 2.83
Ti 0.3333 0.6667 0.5000  2 Ti 2.73, 6 Sn 2.86
Cu 0.0000 0.0000 0.0000  6 Ti 2.53
Sn 0.0000 0.3863 0.7562  9 Ti 2.75-2.94

As for the energy relative to the elements: -0.39 eV per atom.



[5]
# Ti2Cu2Sn

Crystalline Ti2Cu2Sn at its relaxed geometry (PBEsol, Alexandria via LeMat-Bulk).

a = 3.9775 Å, b = 3.9775 Å, c = 10.4570 Å
α = 90.00°, β = 90.00°, γ = 90.00°
Closest atoms and distances in Å follow each position.
Space group I4/mmm (No. 139)
One atom of each set of equivalent atoms:
Ti 0.0000 0.5000 0.2500  4 Cu 2.50
Cu 0.0000 0.0000 0.1051  1 Cu 2.20
Sn 0.0000 0.0000 0.5000  8 Cu 3.02, 8 Ti 3.28

As for the energy relative to the elements: 0.10 eV per atom.



[6]
# TlCuSn3

Crystalline TlCuSn3 at its relaxed geometry (PBEsol, Alexandria via LeMat-Bulk).

a = 5.5911 Å, b = 5.5911 Å, c = 5.5911 Å
α = 90.00°, β = 90.00°, γ = 90.00°
Closest atoms and distances in Å follow each position.
Space group Pm-3m (No. 221)
One atom of each set of equivalent atoms:
Tl 0.0000 0.0000 0.0000  6 Sn 2.80
Cu 0.5000 0.5000 0.5000  12 Sn 3.95
Sn 0.0000 0.0000 0.5000  2 Tl 2.80

As for the energy relative to the elements: 1.14 eV per atom.



[7]
# TmCuSn

Crystalline TmCuSn at its relaxed geometry (PBEsol, Alexandria via LeMat-Bulk).

a = 4.4445 Å, b = 4.4445 Å, c = 7.0695 Å
α = 90.00°, β = 90.00°, γ = 120.00°
Closest atoms and distances in Å follow each position.
Space group P6_3/mmc (No. 194)
One atom of each set of equivalent atoms:
Tm 0.0000 0.0000 0.0000  6 Sn 3.12, 6 Cu 3.12
Cu 0.3333 0.6667 0.2500  3 Sn 2.57
Sn 0.3333 0.6667 0.7500  3 Cu 2.57

As for the energy relative to the elements: -0.57 eV per atom.



[8]
# UCuSn

Crystalline UCuSn at its relaxed geometry (PBEsol, Alexandria via LeMat-Bulk).

a = 4.8348 Å, b = 4.8348 Å, c = 5.6427 Å
α = 90.00°, β = 90.00°, γ = 120.00°
Closest atoms and distances in Å follow each position.
Space group P6_3/mmc (No. 194)
One atom of each set of equivalent atoms:
U 0.0000 0.0000 0.0000  2 U 2.82, 6 Sn 3.13, 6 Cu 3.13
Cu 0.3333 0.6667 0.2500  5 Sn 2.79-2.82
Sn 0.3333 0.6667 0.7500  5 Cu 2.79-2.82

As for the energy relative to the elements: 0.01 eV per atom.



[9]
# YCuSn

Crystalline YCuSn at its relaxed geometry (PBEsol, Alexandria via LeMat-Bulk).

a = 4.4759 Å, b = 4.4759 Å, c = 7.1751 Å
α = 90.00°, β = 90.00°, γ = 120.00°
Closest atoms and distances in Å follow each position.
Space group P6_3mc (No. 186)
One atom of each set of equivalent atoms:
Y 0.0000 0.0000 0.0000  3 Cu 2.89, 6 Sn 3.07-3.23
Cu 0.3333 0.6667 0.1801  4 Sn 2.66-2.94, 3 Y 2.89
Sn 0.3333 0.6667 0.7696  4 Cu 2.66-2.94

As for the energy relative to the elements: -0.66 eV per atom.



[10]
# YCu2Sn2

Crystalline YCu2Sn2 at its relaxed geometry (PBEsol, Alexandria via LeMat-Bulk).

a = 4.3115 Å, b = 4.3115 Å, c = 10.6010 Å
α = 90.00°, β = 90.00°, γ = 90.00°
Closest atoms and distances in Å follow each position.
Space group P4/nmm (No. 129, origin choice 2)
One atom of each set of equivalent atoms:
Y 0.2500 0.2500 0.2381  8 Sn 3.26-3.51, 8 Cu 3.31-3.32
Cu 0.2500 0.2500 0.6392  5 Sn 2.46-2.61
Cu 0.2500 0.7500 0.0000  4 Sn 2.55
Sn 0.2500 0.2500 0.8708  5 Cu 2.46-2.55
Sn 0.2500 0.7500 0.5000  4 Cu 2.61

As for the energy relative to the elements: -0.38 eV per atom.



[11]
# ZrCuSn

Crystalline ZrCuSn at its relaxed geometry (PBEsol, Alexandria via LeMat-Bulk).

a = 6.6115 Å, b = 4.3136 Å, c = 7.6426 Å
α = 90.00°, β = 90.00°, γ = 90.00°
Closest atoms and distances in Å follow each position.
Space group Pnma (No. 62)
One atom of each set of equivalent atoms:
Zr 0.0008 0.2500 0.2145  6 Cu 2.94-3.13, 6 Sn 2.96-3.19
Cu 0.1972 0.7500 0.4135  4 Sn 2.54-2.75
Sn 0.2194 0.2500 0.5869  4 Cu 2.54-2.75

As for the energy relative to the elements: -0.45 eV per atom.



[12]
# Zr5CuSn3

Crystalline Zr5CuSn3 at its relaxed geometry (PBEsol, Alexandria via LeMat-Bulk).

a = 8.5685 Å, b = 8.5685 Å, c = 5.8140 Å
α = 90.00°, β = 90.00°, γ = 120.00°
Closest atoms and distances in Å follow each position.
Space group P6_3/mcm (No. 193)
One atom of each set of equivalent atoms:
Zr 0.0000 0.2629 0.2500  2 Cu 2.68, 2 Sn 2.93
Zr 0.3333 0.6667 0.0000  2 Zr 2.91, 6 Sn 3.03
Cu 0.0000 0.0000 0.0000  6 Zr 2.68, 2 Cu 2.91
Sn 0.0000 0.3860 0.7500  9 Zr 2.93-3.09

As for the energy relative to the elements: -0.60 eV per atom.



[13]
# Sr3Cu

Crystalline Sr3Cu at its relaxed geometry (PBEsol, Alexandria via LeMat-Bulk).

a = 4.2892 Å, b = 4.2892 Å, c = 31.7131 Å
α = 90.00°, β = 90.00°, γ = 120.00°
Closest atoms and distances in Å follow each position.
Space group R-3m (No. 166, hexagonal axes)
One atom of each set of equivalent atoms:
Sr 0.0000 0.0000 0.0000  12 Sr 4.29-4.33
Sr 0.0000 0.0000 0.2212  3 Cu 3.02
Cu 0.0000 0.0000 0.5000  6 Sr 3.02

As for the energy relative to the elements: 0.08 eV per atom.



[14]
# SrCu5

Crystalline SrCu5 at its relaxed geometry (PBEsol, Alexandria via LeMat-Bulk).

a = 5.1472 Å, b = 5.1472 Å, c = 3.9831 Å
α = 90.00°, β = 90.00°, γ = 120.00°
Closest atoms and distances in Å follow each position.
Space group P6/mmm (No. 191)
One atom of each set of equivalent atoms:
Sr 0.0000 0.0000 0.0000  18 Cu 2.97-3.25
Cu 0.0000 0.5000 0.5000  8 Cu 2.48-2.57
Cu 0.3333 0.6667 0.0000  6 Cu 2.48

As for the energy relative to the elements: -0.04 eV per atom.



[15]
# Sr3Cu

Crystalline Sr3Cu at its relaxed geometry (PBEsol, Alexandria via LeMat-Bulk).

a = 5.4339 Å, b = 5.4630 Å, c = 10.0593 Å
α = 90.00°, β = 90.00°, γ = 90.00°
Closest atoms and distances in Å follow each position.
Space group Cmmm (No. 65)
One atom of each set of equivalent atoms:
Sr 0.0000 0.0000 0.0000  12 Sr 3.85-4.25
Sr 0.0000 0.5000 0.3237  4 Cu 3.24-3.26, 1 Sr 3.55
Cu 0.0000 0.0000 0.5000  8 Sr 3.24-3.26

As for the energy relative to the elements: 0.06 eV per atom.



[16]
# SrCu

Crystalline SrCu at its relaxed geometry (PBEsol, Alexandria via LeMat-Bulk).

a = 4.1322 Å, b = 4.1322 Å, c = 7.8784 Å
α = 90.00°, β = 90.00°, γ = 120.00°
Closest atoms and distances in Å follow each position.
Space group P6_3/mmc (No. 194)
One atom of each set of equivalent atoms:
Sr 0.0000 0.0000 0.0000  6 Cu 3.09
Cu 0.3333 0.6667 0.2500  6 Sr 3.09

As for the energy relative to the elements: 0.27 eV per atom.



[17]
# Sr3Cu

Crystalline Sr3Cu at its relaxed geometry (PBEsol, Alexandria via LeMat-Bulk).

a = 4.1551 Å, b = 4.1551 Å, c = 10.8996 Å
α = 90.00°, β = 90.00°, γ = 120.00°
Closest atoms and distances in Å follow each position.
Space group P-6m2 (No. 187)
One atom of each set of equivalent atoms:
Sr 0.0000 0.0000 0.0000  12 Sr 4.16-4.25
Sr 0.3333 0.6667 0.3222  3 Cu 3.08
Cu 0.0000 0.0000 0.5000  6 Sr 3.08

As for the energy relative to the elements: 0.10 eV per atom.



[18]
# Sr3Cu

Crystalline Sr3Cu at its relaxed geometry (PBEsol, Alexandria via LeMat-Bulk).

a = 4.0558 Å, b = 11.1944 Å, c = 7.0291 Å
α = 90.00°, β = 90.00°, γ = 90.00°
Closest atoms and distances in Å follow each position.
Space group Imm2 (No. 44)
One atom of each set of equivalent atoms:
Sr 0.0000 0.0000 0.0000  2 Cu 3.03
Sr 0.0000 0.1798 0.5007  2 Cu 3.12
Cu 0.0000 0.5000 0.8212  6 Sr 3.03-3.12

As for the energy relative to the elements: 0.08 eV per atom.



[19]
# SrCu2

Crystalline SrCu2 at its relaxed geometry (PBEsol, Alexandria via LeMat-Bulk).

a = 5.5172 Å, b = 5.5172 Å, c = 17.0130 Å
α = 90.00°, β = 90.00°, γ = 120.00°
Closest atoms and distances in Å follow each position.
Space group P6_3/mmc (No. 194)
One atom of each set of equivalent atoms:
Sr 0.0000 0.0000 0.0988  12 Cu 3.12-3.23, 4 Sr 3.32-3.36
Sr 0.3333 0.6667 0.1546  12 Cu 3.07-3.24, 4 Sr 3.25-3.32
Cu 0.0000 0.5000 0.0000  6 Cu 2.57-2.76
Cu 0.1841 0.3681 0.7500  4 Cu 2.47-2.65
Cu 0.3333 0.6667 0.6187  6 Cu 2.57-2.65

As for the energy relative to the elements: 0.06 eV per atom.



[20]
# SrCu2

Crystalline SrCu2 at its relaxed geometry (PBEsol, Alexandria via LeMat-Bulk).

a = 4.1994 Å, b = 4.1994 Å, c = 14.4404 Å
α = 90.00°, β = 90.00°, γ = 90.00°
Closest atoms and distances in Å follow each position.
Space group I4_1/amd (No. 141, origin choice 2)
One atom of each set of equivalent atoms:
Sr 0.0000 0.2500 0.3750  12 Cu 3.19-3.20
Cu 0.0000 0.2500 0.7917  3 Cu 2.41-2.42

As for the energy relative to the elements: 0.00 eV per atom.



[21]
# Sr3Cu

Crystalline Sr3Cu at its relaxed geometry (PBEsol, Alexandria via LeMat-Bulk).

a = 8.0624 Å, b = 10.6539 Å, c = 7.1453 Å
α = 90.00°, β = 90.00°, γ = 90.00°
Closest atoms and distances in Å follow each position.
Space group Pnma (No. 62)
One atom of each set of equivalent atoms:
Sr 0.0437 0.2500 0.1570  2 Cu 3.09-3.13
Sr 0.1737 0.0699 0.6686  2 Cu 3.16-3.22
Cu 0.1213 0.7500 0.4464  6 Sr 3.09-3.22

As for the energy relative to the elements: 0.02 eV per atom.



[22]
# SrCu

Crystalline SrCu at its relaxed geometry (PBEsol, Alexandria via LeMat-Bulk).

a = 5.0501 Å, b = 5.0501 Å, c = 4.8653 Å
α = 90.00°, β = 90.00°, γ = 120.00°
Closest atoms and distances in Å follow each position.
Space group P6_3/mmc (No. 194)
One atom of each set of equivalent atoms:
Sr 0.3333 0.6667 0.2500  6 Cu 3.16
Cu 0.0000 0.0000 0.0000  2 Cu 2.43

As for the energy relative to the elements: 0.03 eV per atom.



[23]
# SrCu

Crystalline SrCu at its relaxed geometry (PBEsol, Alexandria via LeMat-Bulk).

a = 7.0728 Å, b = 7.0728 Å, c = 7.0728 Å
α = 90.00°, β = 90.00°, γ = 90.00°
Closest atoms and distances in Å follow each position.
Space group Fd-3m (No. 227, origin choice 2)
One atom of each set of equivalent atoms:
Sr 0.1250 0.1250 0.1250  4 Sr 3.06, 4 Cu 3.06
Cu 0.1250 0.1250 0.6250  4 Cu 3.06, 4 Sr 3.06

As for the energy relative to the elements: 0.35 eV per atom.